No. 1
Crystalline AlZn at its relaxed geometry, computed with PBEsol.

abc: 6.332 6.332 6.332
angles: 90.00 90.00 90.00
Space group Fd-3m (No. 227, origin choice 2)
Symmetry-distinct sites (fractional):
Al (0.125, 0.125, 0.125) x8
Zn (0.125, 0.125, 0.625) x8

total magnetic moment = 0.00 μB/cell
density = 4.834 g cm⁻³
E = -2.69 eV per atom
E_form = 149 meV per atom


No. 2
Crystalline Co3W3C at its relaxed geometry, computed with PBEsol.

abc: 10.944 10.944 10.944
angles: 90.00 90.00 90.00
Space group Fd-3m (No. 227, origin choice 2)
Symmetry-distinct sites (fractional):
Co (0.000, 0.000, 0.000) x16
Co (0.045, 0.045, 0.205) x32
W (0.079, 0.375, 0.875) x48
C (0.000, 0.000, 0.500) x16

total magnetic moment = 44.03 μB/cell
density = 15.004 g cm⁻³
E = -10.67 eV per atom
E_form = -60 meV per atom


No. 3
Crystalline SrLaI5 at its relaxed geometry, computed with PBEsol.

abc: 8.382 4.508 14.829
angles: 90.00 91.87 90.00
Space group P2_1/m (No. 11)
Symmetry-distinct sites (fractional):
Sr (0.055, 0.250, 0.353) x2
La (0.453, 0.750, 0.159) x2
I (0.169, 0.250, 0.126) x2
I (0.177, 0.250, 0.741) x2
I (0.207, 0.750, 0.484) x2
I (0.339, 0.750, 0.940) x2
I (0.461, 0.250, 0.317) x2

total magnetic moment = 0.00 μB/cell
density = 5.106 g cm⁻³
energy relative to the lowest polymorph listed for this composition = 0 meV/atom
E = -3.84 eV per atom
formation energy without anion corrections = -1.55 eV per atom


No. 4
Crystalline Ca4ReSi at its relaxed geometry, computed with PBEsol.

abc: 8.212 8.212 8.212
angles: 90.00 90.00 90.00
Space group F-43m (No. 216)
Symmetry-distinct sites (fractional):
Ca (0.124, 0.124, 0.124) x16
Re (0.250, 0.250, 0.750) x4
Si (0.000, 0.000, 0.500) x4

total magnetic moment = 1.74 μB/cell
density = 4.492 g cm⁻³
E = -3.46 eV per atom
formation energy without anion corrections = 1.14 eV per atom


No. 5
Crystalline BeCdP at its relaxed geometry, computed with PBEsol.

abc: 3.6223 3.6223 4.2929
angles: 90.00 90.00 120.00
Space group P3m1 (No. 156)
Symmetry-distinct sites (fractional):
Be (0.0000, 0.0000, 0.0000) x1
Cd (0.3333, 0.6667, 0.5013) x1
P (0.6667, 0.3333, 0.0020) x1

total magnetic moment = 0.00 μB/cell
density = 5.188 g cm⁻³
energy relative to the lowest polymorph listed for this composition = 0 meV/atom
E = -3.64 eV per atom
E_form = 20 meV per atom


No. 6
Crystalline ZrCuAs at its relaxed geometry, computed with PBEsol.

abc: 3.9456 3.9456 3.5805
angles: 90.00 90.00 120.00
Space group P-6m2 (No. 187)
Symmetry-distinct sites (fractional):
Zr (0.0000, 0.0000, 0.0000) x1
Cu (0.3333, 0.6667, 0.5000) x1
As (0.6667, 0.3333, 0.5000) x1

total magnetic moment = 0.00 μB/cell
density = 7.901 g cm⁻³
E = -6.88 eV per atom
E_form = -702 meV per atom


No. 7
Crystalline ZrMnSi2 at its relaxed geometry, computed with PBEsol.

abc: 3.735 3.735 8.630
angles: 90.00 90.00 90.00
Space group I-4m2 (No. 119)
Symmetry-distinct sites (fractional):
Zr (0.000, 0.000, 0.000) x2
Mn (0.000, 0.500, 0.250) x2
Si (0.000, 0.000, 0.500) x2
Si (0.000, 0.500, 0.750) x2

total magnetic moment = 6.15 μB/cell
density = 5.582 g cm⁻³
E = -7.96 eV per atom
formation energy without anion corrections = -0.38 eV per atom


No. 8
Crystalline Li2LaCd2 at its relaxed geometry, computed with PBEsol.

abc: 4.125 4.125 13.880
angles: 90.00 90.00 90.00
Space group I4/mmm (No. 139)
Symmetry-distinct sites (fractional):
Li (0.000, 0.500, 0.250) x4
La (0.000, 0.000, 0.000) x2
Cd (0.000, 0.000, 0.389) x4

total magnetic moment = 0.11 μB/cell
density = 5.310 g cm⁻³
energy relative to the lowest polymorph listed for this composition = 31 meV/atom
E = -2.52 eV per atom
E_form = -189 meV per atom